# Mg5Tl

A relaxed structure of Mg5Tl (GGA-PBEsol, the Alexandria database).

```
data_Mg5Tl
_chemical_formula_sum 'Mg20 Tl4'
_cell_length_a 8.304
_cell_length_b 8.304
_cell_length_c 8.304
_cell_angle_alpha 90.00
_cell_angle_beta 90.00
_cell_angle_gamma 90.00
_space_group_name_H-M_alt 'F -4 3 m'
_space_group_IT_number 216
_space_group_name_Hall 'F -4 2 3'
loop_
_atom_site_label
_atom_site_type_symbol
_atom_site_fract_x
_atom_site_fract_y
_atom_site_fract_z
Mg1 Mg 0.000 0.000 0.000
Mg2 Mg 0.125 0.125 0.625
Tl1 Tl 0.250 0.250 0.250
```

Results
- E_form (eV per atom) = 0.06
- offset from the most stable computed form (eV per formula unit) = 0.607
- E_tot (eV/atom) = -1.809
- DOS(E_F) (states/eV per atom) = 0.446

---

# CaSc2HgO

A relaxed structure of CaSc2HgO (GGA-PBEsol, the Alexandria database).

```
data_CaSc2HgO
_chemical_formula_sum 'Ca1 Sc2 Hg1 O1'
_cell_length_a 4.412
_cell_length_b 4.412
_cell_length_c 4.664
_cell_angle_alpha 90.00
_cell_angle_beta 90.00
_cell_angle_gamma 90.00
_space_group_name_H-M_alt 'P 4/m m m'
_space_group_IT_number 123
_space_group_name_Hall '-P 4 2'
loop_
_atom_site_label
_atom_site_type_symbol
_atom_site_fract_x
_atom_site_fract_y
_atom_site_fract_z
Ca1 Ca 0.000 0.000 0.000
Sc1 Sc 0.000 0.500 0.500
Hg1 Hg 0.500 0.500 0.000
O1 O 0.000 0.000 0.500
```

Results
- formation energy (no corrections) (eV/atom) = -1.467
- E_tot (eV/atom) = -5.699
- DOS(E_F) (states/eV per atom) = 0.838

---

# Pt

A relaxed structure of Pt (GGA-PBEsol, the Alexandria database).

```
data_Pt
_chemical_formula_sum 'Pt2'
_cell_length_a 2.7227
_cell_length_b 2.7227
_cell_length_c 4.7024
_cell_angle_alpha 90.00
_cell_angle_beta 90.00
_cell_angle_gamma 120.00
_space_group_name_H-M_alt 'P 63/m m c'
_space_group_IT_number 194
_space_group_name_Hall '-P 6c 2c'
loop_
_atom_site_label
_atom_site_type_symbol
_atom_site_fract_x
_atom_site_fract_y
_atom_site_fract_z
Pt1 Pt 0.3333 0.6667 0.2500
```

Results
- E_form (eV per atom) = 0.06
- offset from the most stable computed form (eV per formula unit) = 0.065
- E_tot (eV/atom) = -6.899
- DOS(E_F) (states/eV per atom) = 2.003

---

# Gd2MnNiO6

A relaxed structure of Gd2MnNiO6 (GGA-PBEsol, the Alexandria database).

```
data_Gd2MnNiO6
_chemical_formula_sum 'Gd4 Mn2 Ni2 O12'
_cell_length_a 5.221
_cell_length_b 5.519
_cell_length_c 9.088
_cell_angle_alpha 90.00
_cell_angle_beta 124.68
_cell_angle_gamma 90.00
_space_group_name_H-M_alt 'P 1 21/c 1'
_space_group_IT_number 14
_space_group_name_Hall '-P 2ybc'
loop_
_atom_site_label
_atom_site_type_symbol
_atom_site_fract_x
_atom_site_fract_y
_atom_site_fract_z
Gd1 Gd 0.232 0.069 0.249
Mn1 Mn 0.500 0.000 0.000
Ni1 Ni 0.000 0.000 0.500
O1 O 0.156 0.193 0.953
O2 O 0.261 0.709 0.950
O3 O 0.349 0.025 0.755
```

Results
- formation energy (no corrections) (eV/atom) = -2.472
- E_tot (eV/atom) = -10.104

---

# RbCaSc2Ni

A relaxed structure of RbCaSc2Ni (GGA-PBEsol, the Alexandria database).

```
data_RbCaSc2Ni
_chemical_formula_sum 'Rb1 Ca1 Sc2 Ni1'
_cell_length_a 4.878
_cell_length_b 4.878
_cell_length_c 5.220
_cell_angle_alpha 90.00
_cell_angle_beta 90.00
_cell_angle_gamma 90.00
_space_group_name_H-M_alt 'P 4/m m m'
_space_group_IT_number 123
_space_group_name_Hall '-P 4 2'
loop_
_atom_site_label
_atom_site_type_symbol
_atom_site_fract_x
_atom_site_fract_y
_atom_site_fract_z
Rb1 Rb 0.000 0.000 0.000
Ca1 Ca 0.000 0.000 0.500
Sc1 Sc 0.000 0.500 0.000
Ni1 Ni 0.500 0.500 0.500
```

Results
- E_form (eV per atom) = 1.69
- E_tot (eV/atom) = -2.812
- DOS(E_F) (states/eV per atom) = 0.848

---

# ZnPt2

A relaxed structure of ZnPt2 (GGA-PBEsol, the Alexandria database).

```
data_ZnPt2
_chemical_formula_sum 'Zn1 Pt2'
_cell_length_a 2.7657
_cell_length_b 2.7657
_cell_length_c 6.5207
_cell_angle_alpha 90.00
_cell_angle_beta 90.00
_cell_angle_gamma 120.00
_space_group_name_H-M_alt 'P -3 m 1'
_space_group_IT_number 164
_space_group_name_Hall '-P 3 2"'
loop_
_atom_site_label
_atom_site_type_symbol
_atom_site_fract_x
_atom_site_fract_y
_atom_site_fract_z
Zn1 Zn 0.0000 0.0000 0.0000
Pt1 Pt 0.3333 0.6667 0.6831
```

Results
- E_form (eV per atom) = -0.35
- E_tot (eV/atom) = -5.522
- DOS(E_F) (states/eV per atom) = 0.390

---

# Hg2AsHPb

A relaxed structure of Hg2AsHPb (GGA-PBEsol, the Alexandria database).

```
data_Hg2AsHPb
_chemical_formula_sum 'Hg2 As1 H1 Pb1'
_cell_length_a 5.965
_cell_length_b 5.965
_cell_length_c 5.294
_cell_angle_alpha 90.00
_cell_angle_beta 90.00
_cell_angle_gamma 90.00
_space_group_name_H-M_alt 'P 4/m m m'
_space_group_IT_number 123
_space_group_name_Hall '-P 4 2'
loop_
_atom_site_label
_atom_site_type_symbol
_atom_site_fract_x
_atom_site_fract_y
_atom_site_fract_z
Hg1 Hg 0.000 0.500 0.000
As1 As 0.000 0.000 0.500
H1 H 0.500 0.500 0.500
Pb1 Pb 0.000 0.000 0.000
```

Results
- E_tot (eV/atom) = -1.721
- DOS(E_F) (states/eV per atom) = 0.750

---

# Be17Ru3

A relaxed structure of Be17Ru3 (GGA-PBEsol, the Alexandria database).

```
data_Be17Ru3
_chemical_formula_sum 'Be136 Ru24'
_cell_length_a 11.248
_cell_length_b 11.248
_cell_length_c 11.248
_cell_angle_alpha 90.00
_cell_angle_beta 90.00
_cell_angle_gamma 90.00
_space_group_name_H-M_alt 'I m -3'
_space_group_IT_number 204
_space_group_name_Hall '-I 2 2 3'
loop_
_atom_site_label
_atom_site_type_symbol
_atom_site_fract_x
_atom_site_fract_y
_atom_site_fract_z
Be1 Be 0.000 0.000 0.402
Be2 Be 0.000 0.230 0.094
Be3 Be 0.000 0.305 0.500
Be4 Be 0.000 0.405 0.349
Be5 Be 0.114 0.342 0.201
Be6 Be 0.166 0.166 0.166
Ru1 Ru 0.000 0.188 0.301
```

Results
- E_form (eV per atom) = -0.26
- E_tot (eV/atom) = -5.186
- DOS(E_F) (states/eV per atom) = 0.152

---

# Dy5CuPb3

A relaxed structure of Dy5CuPb3 (GGA-PBEsol, the Alexandria database).

```
data_Dy5CuPb3
_chemical_formula_sum 'Dy10 Cu2 Pb6'
_cell_length_a 9.0684
_cell_length_b 9.0684
_cell_length_c 6.5385
_cell_angle_alpha 90.00
_cell_angle_beta 90.00
_cell_angle_gamma 120.00
_space_group_name_H-M_alt 'P 63/m c m'
_space_group_IT_number 193
_space_group_name_Hall '-P 6c 2'
loop_
_atom_site_label
_atom_site_type_symbol
_atom_site_fract_x
_atom_site_fract_y
_atom_site_fract_z
Dy1 Dy 0.0000 0.2543 0.2500
Dy2 Dy 0.3333 0.6667 0.0000
Cu1 Cu 0.0000 0.0000 0.0000
Pb1 Pb 0.0000 0.3887 0.7500
```

Results
- E_form (eV per atom) = -0.53
- E_tot (eV/atom) = -5.109
- DOS(E_F) (states/eV per atom) = 0.839

---

# LuMgTl

A relaxed structure of LuMgTl (GGA-PBEsol, the Alexandria database).

```
data_LuMgTl
_chemical_formula_sum 'Lu3 Mg3 Tl3'
_cell_length_a 7.3495
_cell_length_b 7.3495
_cell_length_c 4.5472
_cell_angle_alpha 90.00
_cell_angle_beta 90.00
_cell_angle_gamma 120.00
_space_group_name_H-M_alt 'P -6 2 m'
_space_group_IT_number 189
_space_group_name_Hall 'P -6 -2'
loop_
_atom_site_label
_atom_site_type_symbol
_atom_site_fract_x
_atom_site_fract_y
_atom_site_fract_z
Lu1 Lu 0.0000 0.5673 0.0000
Mg1 Mg 0.0000 0.2432 0.5000
Tl1 Tl 0.0000 0.0000 0.0000
Tl2 Tl 0.3333 0.6667 0.5000
```

Results
- E_form (eV per atom) = -0.32
- E_tot (eV/atom) = -3.397
- DOS(E_F) (states/eV per atom) = 0.111

---

# SrTl2Ru

A relaxed structure of SrTl2Ru (GGA-PBEsol, the Alexandria database).

```
data_SrTl2Ru
_chemical_formula_sum 'Sr1 Tl2 Ru1'
_cell_length_a 3.581
_cell_length_b 3.581
_cell_length_c 7.633
_cell_angle_alpha 90.00
_cell_angle_beta 90.00
_cell_angle_gamma 90.00
_space_group_name_H-M_alt 'P 4 m m'
_space_group_IT_number 99
_space_group_name_Hall 'P 4 -2'
loop_
_atom_site_label
_atom_site_type_symbol
_atom_site_fract_x
_atom_site_fract_y
_atom_site_fract_z
Sr1 Sr 0.000 0.000 0.000
Tl1 Tl 0.000 0.000 0.586
Tl2 Tl 0.500 0.500 0.329
Ru1 Ru 0.500 0.500 0.730
```

Results
- E_form (eV per atom) = 0.24
- E_tot (eV/atom) = -4.074
- DOS(E_F) (states/eV per atom) = 0.725

---

# SrSb2Pd

A relaxed structure of SrSb2Pd (GGA-PBEsol, the Alexandria database).

```
data_SrSb2Pd
_chemical_formula_sum 'Sr4 Sb8 Pd4'
_cell_length_a 7.272
_cell_length_b 7.272
_cell_length_c 7.272
_cell_angle_alpha 90.00
_cell_angle_beta 90.00
_cell_angle_gamma 90.00
_space_group_name_H-M_alt 'F m -3 m'
_space_group_IT_number 225
_space_group_name_Hall '-F 4 2 3'
loop_
_atom_site_label
_atom_site_type_symbol
_atom_site_fract_x
_atom_site_fract_y
_atom_site_fract_z
Sr1 Sr 0.000 0.000 0.000
Sb1 Sb 0.250 0.250 0.250
Pd1 Pd 0.000 0.000 0.500
```

Results
- formation energy (no corrections) (eV/atom) = -0.321
- E_tot (eV/atom) = -4.550
- DOS(E_F) (states/eV per atom) = 0.599

---

Question: Which value of E_tot does entry 5 give?
Answer: -2.812 eV/atom